Entry 1:
# Dy2GaSi3Rh4 | Alexandria via LeMat-Bulk | PBE | optimized geometry
data_Dy2GaSi3Rh4
_cell_length_a 4.146
_cell_length_b 4.146
_cell_length_c 9.842
_cell_angle_alpha 90.00
_cell_angle_beta 90.00
_cell_angle_gamma 90.00
_space_group_name_H-M_alt 'P 1'
_space_group_IT_number 1
loop_
_space_group_symop_operation_xyz
'x,y,z'
loop_
_atom_site_label
_atom_site_fract_x
_atom_site_fract_y
_atom_site_fract_z
Dy1 0.000 0.500 0.248
Dy2 0.500 0.000 0.752
Ga1 0.500 0.500 0.000
Si1 0.000 0.000 0.000
Si2 0.000 0.500 0.628
Si3 0.500 0.000 0.372
Rh1 0.000 0.000 0.500
Rh2 0.000 0.500 0.865
Rh3 0.500 0.000 0.135
Rh4 0.500 0.500 0.500
# Formation energy (no corrections)   -1.016 eV per atom
# Space group   P-4m2

Entry 2:
# Sm2DyGa3Rh4 | Alexandria via LeMat-Bulk | PBE | optimized geometry
data_Sm2DyGa3Rh4
_cell_length_a 4.264
_cell_length_b 4.264
_cell_length_c 10.923
_cell_angle_alpha 90.00
_cell_angle_beta 90.00
_cell_angle_gamma 90.00
_space_group_name_H-M_alt 'P 1'
_space_group_IT_number 1
loop_
_space_group_symop_operation_xyz
'x,y,z'
loop_
_atom_site_label
_atom_site_fract_x
_atom_site_fract_y
_atom_site_fract_z
Sm1 0.000 0.500 0.220
Sm2 0.500 0.000 0.780
Dy1 0.000 0.000 0.500
Ga1 0.000 0.500 0.882
Ga2 0.500 0.000 0.118
Ga3 0.500 0.500 0.500
Rh1 0.000 0.000 0.000
Rh2 0.000 0.500 0.654
Rh3 0.500 0.000 0.346
Rh4 0.500 0.500 0.000
# Space group   P-4m2
# Energy relative to the elements   -7.9 eV/f.u.

Entry 3:
# Dy2GaSn2Rh5 | Alexandria via LeMat-Bulk | PBE | optimized geometry
data_Dy2GaSn2Rh5
_cell_length_a 10.648
_cell_length_b 10.648
_cell_length_c 3.262
_cell_angle_alpha 90.00
_cell_angle_beta 90.00
_cell_angle_gamma 90.00
_space_group_name_H-M_alt 'P 1'
_space_group_IT_number 1
loop_
_space_group_symop_operation_xyz
'x,y,z'
loop_
_atom_site_label
_atom_site_fract_x
_atom_site_fract_y
_atom_site_fract_z
Dy1 0.164 0.336 0.000
Dy2 0.336 0.836 0.000
Dy3 0.664 0.164 0.000
Dy4 0.836 0.664 0.000
Ga1 0.000 0.000 0.000
Ga2 0.500 0.500 0.000
Sn1 0.139 0.639 0.000
Sn2 0.361 0.139 0.000
Sn3 0.639 0.861 0.000
Sn4 0.861 0.361 0.000
Rh1 0.000 0.500 0.500
Rh2 0.031 0.805 0.500
Rh3 0.195 0.031 0.500
Rh4 0.305 0.531 0.500
Rh5 0.469 0.305 0.500
Rh6 0.500 0.000 0.500
Rh7 0.531 0.695 0.500
Rh8 0.695 0.469 0.500
Rh9 0.805 0.969 0.500
Rh10 0.969 0.195 0.500
# Space group   P4/mbm
# Energy relative to the elements   -5.9 eV/f.u.

Entry 4:
# Dy2Ga2SnRh5 | Alexandria via LeMat-Bulk | PBE | optimized geometry
data_Dy2Ga2SnRh5
_cell_length_a 9.810
_cell_length_b 9.810
_cell_length_c 3.606
_cell_angle_alpha 90.00
_cell_angle_beta 90.00
_cell_angle_gamma 90.00
_space_group_name_H-M_alt 'P 1'
_space_group_IT_number 1
loop_
_space_group_symop_operation_xyz
'x,y,z'
loop_
_atom_site_label
_atom_site_fract_x
_atom_site_fract_y
_atom_site_fract_z
Dy1 0.174 0.326 0.000
Dy2 0.326 0.826 0.000
Dy3 0.674 0.174 0.000
Dy4 0.826 0.674 0.000
Ga1 0.123 0.623 0.000
Ga2 0.377 0.123 0.000
Ga3 0.623 0.877 0.000
Ga4 0.877 0.377 0.000
Sn1 0.000 0.000 0.000
Sn2 0.500 0.500 0.000
Rh1 0.000 0.500 0.500
Rh2 0.069 0.793 0.500
Rh3 0.207 0.069 0.500
Rh4 0.293 0.569 0.500
Rh5 0.431 0.293 0.500
Rh6 0.500 0.000 0.500
Rh7 0.569 0.707 0.500
Rh8 0.707 0.431 0.500
Rh9 0.793 0.931 0.500
Rh10 0.931 0.207 0.500
# Space group   P4/mbm
# Energy relative to the elements   -8.4 eV/f.u.

Entry 5:
# Dy2TaGa2Rh5 | Alexandria via LeMat-Bulk | PBE | optimized geometry
data_Dy2TaGa2Rh5
_cell_length_a 9.851
_cell_length_b 9.851
_cell_length_c 3.538
_cell_angle_alpha 90.00
_cell_angle_beta 90.00
_cell_angle_gamma 90.00
_space_group_name_H-M_alt 'P 1'
_space_group_IT_number 1
loop_
_space_group_symop_operation_xyz
'x,y,z'
loop_
_atom_site_label
_atom_site_fract_x
_atom_site_fract_y
_atom_site_fract_z
Dy1 0.172 0.328 0.000
Dy2 0.328 0.828 0.000
Dy3 0.672 0.172 0.000
Dy4 0.828 0.672 0.000
Ta1 0.000 0.000 0.000
Ta2 0.500 0.500 0.000
Ga1 0.126 0.626 0.000
Ga2 0.374 0.126 0.000
Ga3 0.626 0.874 0.000
Ga4 0.874 0.374 0.000
Rh1 0.000 0.500 0.500
Rh2 0.066 0.799 0.500
Rh3 0.201 0.066 0.500
Rh4 0.299 0.566 0.500
Rh5 0.434 0.299 0.500
Rh6 0.500 0.000 0.500
Rh7 0.566 0.701 0.500
Rh8 0.701 0.434 0.500
Rh9 0.799 0.934 0.500
Rh10 0.934 0.201 0.500
# Space group   P4/mbm
# Energy relative to the elements   -7.8 eV/f.u.

Entry 6:
# TbDyGaRh | Alexandria via LeMat-Bulk | PBE | optimized geometry
data_TbDyGaRh
_cell_length_a 4.268
_cell_length_b 5.702
_cell_length_c 5.702
_cell_angle_alpha 40.76
_cell_angle_beta 90.00
_cell_angle_gamma 90.00
_space_group_name_H-M_alt 'P 1'
_space_group_IT_number 1
loop_
_space_group_symop_operation_xyz
'x,y,z'
loop_
_atom_site_label
_atom_site_fract_x
_atom_site_fract_y
_atom_site_fract_z
Tb1 0.000 0.000 0.000
Dy1 0.500 0.717 0.717
Ga1 0.500 0.427 0.427
Rh1 0.000 0.279 0.279
# E above lowest polymorph   0 meV per atom
# Space group   Amm2
# Energy relative to the elements   -2.9 eV/f.u.

Entry 7:
# TbDyGaRh | Alexandria via LeMat-Bulk | PBE | optimized geometry
data_TbDyGaRh
_cell_length_a 4.974
_cell_length_b 4.974
_cell_length_c 4.974
_cell_angle_alpha 60.00
_cell_angle_beta 60.00
_cell_angle_gamma 60.00
_space_group_name_H-M_alt 'P 1'
_space_group_IT_number 1
loop_
_space_group_symop_operation_xyz
'x,y,z'
loop_
_atom_site_label
_atom_site_fract_x
_atom_site_fract_y
_atom_site_fract_z
Tb1 0.000 0.000 0.000
Dy1 0.500 0.500 0.500
Ga1 0.250 0.250 0.250
Rh1 0.750 0.750 0.750
# E above lowest polymorph   60 meV per atom
# Space group   F-43m
# Energy relative to the elements   -2.7 eV/f.u.

Entry 8:
# TbDyGa2Rh2 | Alexandria via LeMat-Bulk | PBE | optimized geometry
data_TbDyGa2Rh2
_cell_length_a 4.400
_cell_length_b 4.400
_cell_length_c 7.047
_cell_angle_alpha 90.00
_cell_angle_beta 90.00
_cell_angle_gamma 120.00
_space_group_name_H-M_alt 'P 1'
_space_group_IT_number 1
loop_
_space_group_symop_operation_xyz
'x,y,z'
loop_
_atom_site_label
_atom_site_fract_x
_atom_site_fract_y
_atom_site_fract_z
Tb1 0.000 0.000 0.000
Dy1 0.000 0.000 0.500
Ga1 0.333 0.667 0.253
Ga2 0.667 0.333 0.747
Rh1 0.333 0.667 0.746
Rh2 0.667 0.333 0.254
# Space group   P-3m1
# Energy relative to the elements   -4.9 eV/f.u.

Number 1: mass density 8.74 g cm⁻³, density of states at the Fermi level 5.75 states/eV per cell, electronic total energy -68.06 eV per cell. Number 2: mass density 9.06 g cm⁻³, density of states at the Fermi level 6.37 states/eV per cell, electronic total energy -60.39 eV per cell. Number 3: mass density 10.30 g cm⁻³, density of states at the Fermi level 8.27 states/eV per cell, electronic total energy -125.74 eV per cell. Number 4: mass density 10.51 g cm⁻³, density of states at the Fermi level 5.33 states/eV per cell, electronic total energy -128.83 eV per cell. Number 5: mass density 11.22 g cm⁻³, density of states at the Fermi level 8.40 states/eV per cell, electronic total energy -143.28 eV per cell. Number 6: mass density 9.06 g cm⁻³, density of states at the Fermi level 3.08 states/eV per cell, electronic total energy -22.54 eV per cell. Number 7: mass density 9.43 g cm⁻³, density of states at the Fermi level 2.60 states/eV per cell, electronic total energy -22.30 eV per cell. Number 8: mass density 9.37 g cm⁻³, density of states at the Fermi level 4.37 states/eV per cell, electronic total energy -34.92 eV per cell.